{
  "formula": "GdHoNiOs",
  "functional": "PBE",
  "state": "relaxed",
  "magmom_total_mub_per_cell": 6.97,
  "sg": "F-43m, No. 216",
  "formation_enthalpy_0k_ev_per_atom": -0.272,
  "lattice": [[-3.944, -2.593, 0.943], [-1.245, -3.630, -2.904], [0.417, -4.548, 1.519]],
  "species": ["Ni", "Gd", "Os", "Ho"],
  "fractional_positions": [[0.750, 0.750, 0.750], [0.000, 0.000, 0.000], [0.250, 0.250, 0.250], [0.500, 0.500, 0.500]]
}



{
  "formula": "Na3PrSb2Se6",
  "functional": "PBE",
  "state": "relaxed",
  "magmom_total_mub_per_cell": 0.00,
  "sg": "C2/m, No. 12",
  "e_form_raw_mev_per_atom": -984,
  "lattice": [[-2.767, 3.754, -5.625], [5.785, -4.350, -1.000], [-5.308, -5.184, 0.731]],
  "species": ["Na", "Na", "Na", "Pr", "Sb", "Sb", "Se", "Se", "Se", "Se", "Se", "Se"],
  "fractional_positions": [[0.169, 0.831, 0.500], [0.831, 0.169, 0.500], [0.500, 0.500, 0.500], [0.000, 0.000, 0.000], [0.333, 0.667, 0.000], [0.667, 0.333, 0.000], [0.923, 0.580, 0.767], [0.736, 0.736, 0.235], [0.077, 0.420, 0.233], [0.580, 0.923, 0.767], [0.264, 0.264, 0.765], [0.420, 0.077, 0.233]]
}



{
  "formula": "NaTlIn2Re",
  "functional": "PBE",
  "state": "relaxed",
  "magmom_total_mub_per_cell": 3.62,
  "sg": "P4/mmm, No. 123",
  "formation_enthalpy_0k_ev_per_atom": 1.588,
  "lattice": [[-1.804, 4.190, 2.702], [-4.103, -2.880, 1.727], [2.838, -1.507, 4.232]],
  "species": ["Re", "Tl", "Na", "In", "In"],
  "fractional_positions": [[0.500, 0.500, 0.500], [0.000, 0.000, 0.500], [0.000, 0.000, 0.000], [0.000, 0.500, 0.000], [0.500, 0.000, 0.000]]
}



{
  "formula": "InAuI2",
  "functional": "PBE",
  "state": "relaxed",
  "magmom_total_mub_per_cell": 0.00,
  "sg": "I-42d, No. 122",
  "e_above_lowest_polymorph_ev_per_atom": 0.0751,
  "e_form_raw_mev_per_atom": -148,
  "lattice": [[-0.380, 5.867, 5.905], [-4.132, -5.264, 4.964], [1.435, -1.079, 7.044]],
  "species": ["I", "I", "I", "I", "Au", "Au", "In", "In"],
  "fractional_positions": [[0.683, 0.125, 0.250], [0.067, 0.625, 0.250], [0.375, 0.317, 0.750], [0.875, 0.933, 0.750], [0.000, 0.000, 0.000], [0.750, 0.250, 0.500], [0.500, 0.500, 0.000], [0.250, 0.750, 0.500]]
}



{
  "formula": "Pm4BiAsS2",
  "functional": "PBE",
  "state": "relaxed",
  "magmom_total_mub_per_cell": 0.00,
  "sg": "P2/m, No. 10",
  "e_form_raw_mev_per_atom": -1589,
  "lattice": [[-0.929, -2.328, 3.403], [-3.849, -4.563, -4.173], [4.400, -5.380, -2.480]],
  "species": ["Pm", "Pm", "Pm", "Pm", "Bi", "As", "S", "S"],
  "fractional_positions": [[0.000, 0.772, 0.728], [0.000, 0.228, 0.272], [0.500, 0.760, 0.260], [0.500, 0.240, 0.740], [0.500, 0.500, 0.000], [0.000, 0.500, 0.500], [0.000, 0.000, 0.000], [0.500, 0.000, 0.500]]
}



{
  "formula": "CaYPa",
  "functional": "PBE",
  "state": "relaxed",
  "magmom_total_mub_per_cell": 0.00,
  "sg": "P6/mmm, No. 191",
  "formation_enthalpy_0k_ev_per_atom": 0.353,
  "lattice": [[5.718, 0.024, -0.231], [2.824, 4.955, -0.484], [0.272, 0.508, 6.785]],
  "species": ["Ca", "Ca", "Y", "Y", "Pa", "Pa"],
  "fractional_positions": [[0.523, 0.825, 0.717], [0.190, 0.492, 0.717], [0.190, 0.492, 0.217], [0.523, 0.826, 0.217], [0.856, 0.159, 0.408], [0.856, 0.159, 0.025]]
}



Question: What is the formula in the fourth record?
Answer: InAuI2